VASP calculation (PBEsol) on TlTe2Au after structural relaxation.

Cell and atoms, written as POSCAR:
```
TlTe2Au
1.0
-1.9969 3.0667 4.6904
1.9969 -3.0667 4.6904
1.9969 3.0667 -4.6904
Tl Te Au
1 2 1
Cartesian
0.0000 0.0000 0.0000
1.9969 0.0000 2.9137
0.0000 3.0667 1.7766
0.0000 0.0000 4.6904
```

Spin magnetization   0.00 Bohr magnetons per cell
Space group   Immm
ΔE_f (raw)   -0.054 eV per atom
D(E_F)   2.289 states/eV/f.u.